Record 1
LiPaOsPb, relaxed, DFT PBE-GGA; total energy = -26.4 eV for the cell shown; M_tot = 0.000 μB/atom
1.0
4.8058 0.0000 0.0000
2.4029 4.1620 0.0000
2.4029 1.3873 3.9239
Os Pb Pa Li
1 1 1 1
direct
0.0000 0.0000 0.0000
0.7500 0.7500 0.7500
0.2500 0.2500 0.2500
0.5000 0.5000 0.5000

Record 2
LiNbSb2, relaxed, DFT PBE-GGA; total energy = -21.2 eV for the cell shown; M_tot = 0.000 μB/atom; relative energy among the computed polymorphs = 0.020 eV/atom
1.0
-3.5519 -0.2876 0.4742
0.1705 -3.4913 -0.8399
0.9437 -1.4438 6.1933
Li Sb Nb
1 2 1
direct
0.5000 0.5000 0.5000
0.0000 0.0000 0.2383
0.0000 0.0000 0.7617
0.5000 0.5000 0.0000

Record 3
HgPb2S, relaxed, DFT PBE-GGA; total energy = -12.0 eV for the cell shown; M_tot = 0.000 μB/atom; relative energy among the computed polymorphs = 0.099 eV/atom
1.0
-0.5465 3.4616 1.2228
-4.8749 -0.0229 -2.1137
-1.9638 -1.9173 4.5498
S Pb Hg
1 2 1
direct
0.5000 0.5000 0.5000
0.0000 0.0000 0.5000
0.0000 0.5000 0.0000
0.5000 0.0000 0.0000

Record 4
Zr3Sc8In, relaxed, DFT PBE-GGA; total energy = -71.8 eV for the cell shown; M_tot = 0.000 μB/atom
1.0
-2.9872 6.3744 -2.9187
-4.5316 -4.5750 4.0755
5.0862 0.6476 5.6380
Sc Zr In
8 3 1
direct
0.7344 0.1304 0.1304
0.0000 0.8696 0.6041
0.0000 0.2293 0.7108
0.2656 0.3959 0.3959
0.0000 0.6041 0.8696
0.0000 0.7108 0.2293
0.5185 0.2892 0.2892
0.4815 0.7707 0.7707
0.5000 0.2500 0.7500
0.5000 0.7500 0.2500
0.0000 0.5000 0.5000
0.0000 0.0000 0.0000

Record 5
Ac2TlZnNi, relaxed, DFT PBE-GGA; total energy = -38.4 eV for the cell shown; M_tot = 0.000 μB/atom
1.0
-1.2740 -4.4511 -0.9874
3.4929 -2.4116 6.3649
-7.8011 1.8707 1.6323
Tl Ac Ni Zn
2 4 2 2
direct
0.7500 0.3479 0.6447
0.2500 0.6521 0.3553
0.2500 0.2879 0.9522
0.7500 0.8672 0.6632
0.7500 0.7121 0.0478
0.2500 0.1328 0.3368
0.7500 0.0895 0.0612
0.2500 0.9105 0.9388
0.2500 0.5857 0.7101
0.7500 0.4143 0.2899

Record 6
ZrSnNO2, relaxed, DFT PBE-GGA; total energy = -34.2 eV for the cell shown; M_tot = 0.154 μB/atom
1.0
-1.8793 0.9382 -3.3887
-0.8629 -3.8479 -0.5868
-3.5415 0.4746 2.0954
Zr Sn N O
1 1 1 2
direct
0.5000 0.5000 0.5000
0.0000 0.0000 0.0000
0.0000 0.0000 0.5000
0.0000 0.5000 0.0000
0.5000 0.0000 0.0000

Record 7
Ho8Th, relaxed, DFT PBE-GGA; total energy = -43.8 eV for the cell shown; M_tot = 0.000 μB/atom
1.0
5.0062 0.0000 0.0000
2.5031 7.4926 0.0000
2.5031 0.0000 7.4926
Ho Th
8 1
direct
0.6680 0.3320 0.3320
0.3320 0.6680 0.6680
0.0000 0.3320 0.6680
0.0000 0.6680 0.3320
0.6646 0.6708 0.0000
0.6646 0.0000 0.6708
0.3354 0.0000 0.3292
0.3354 0.3292 0.0000
0.0000 0.0000 0.0000